Compound: BaTe2Br
Source: Alexandria via LeMat-Bulk
Functional: GGA-PBE
Structure: optimized geometry

Properties
The calculation puts the total magnetization at 0.000 Bohr magnetons per cell. The distance to the lowest polymorph of the same formula is 102 meV/atom. As for the uncorrected formation energy: -1.130 eV per atom. The calculation puts the electronic total energy at -3.6001 eV/atom. The calculation puts the volume at 40.540 A^3/atom.

Lattice parameters (Å, degrees): 4.914 6.665 4.979 90.00 96.01 90.00
Fractional positions:
1 Ba 0.000 0.000 0.000
2 Te 0.151 0.500 0.775
3 Te 0.849 0.500 0.225
4 Br 0.500 0.000 0.500